(1)
Below is crystalline LiLa2SbRh at its relaxed geometry, with properties calculated at the PBE level.

Results
- energy relative to the elements, uncorrected (kJ/mol of formula units) = -319
- volume (Å³/cell) = 141.38
- spin magnetization (μB/f.u.) = 0.0

CIF file:
```
data_LiLa2SbRh
_chemical_formula_sum 'Li1 La2 Sb1 Rh1'
_cell_length_a 5.447
_cell_length_b 5.447
_cell_length_c 4.764
_cell_angle_alpha 90.00
_cell_angle_beta 90.00
_cell_angle_gamma 90.00
_space_group_name_H-M_alt 'P 4/m m m'
_space_group_IT_number 123
_space_group_name_Hall '-P 4 2'
loop_
_atom_site_label
_atom_site_fract_x
_atom_site_fract_y
_atom_site_fract_z
_atom_site_occupancy
Li1 0.000 0.000 0.000 1
La1 0.000 0.500 0.500 1
Sb1 0.500 0.500 0.000 1
Rh1 0.000 0.000 0.500 1
```

(2)
Below is crystalline HfZrPaRe at its relaxed geometry, with properties calculated at the PBE level.

Results
- energy relative to the elements (eV per atom) = -0.04
- volume (Å³/cell) = 329.39
- spin magnetization (μB/f.u.) = 0.0

CIF file:
```
data_HfZrPaRe
_chemical_formula_sum 'Hf4 Zr4 Pa4 Re4'
_cell_length_a 6.906
_cell_length_b 6.906
_cell_length_c 6.906
_cell_angle_alpha 90.00
_cell_angle_beta 90.00
_cell_angle_gamma 90.00
_space_group_name_H-M_alt 'F -4 3 m'
_space_group_IT_number 216
_space_group_name_Hall 'F -4 2 3'
loop_
_atom_site_label
_atom_site_fract_x
_atom_site_fract_y
_atom_site_fract_z
_atom_site_occupancy
Hf1 0.000 0.000 0.000 1
Zr1 0.250 0.250 0.750 1
Pa1 0.000 0.000 0.500 1
Re1 0.250 0.250 0.250 1
```

(3)
Below is crystalline AcGdTmHg at its relaxed geometry, with properties calculated at the PBE level.

Results
- energy relative to the elements (eV per atom) = 0.05
- volume (Å³/cell) = 489.35
- spin magnetization (μB/f.u.) = 8.5

CIF file:
```
data_AcGdTmHg
_chemical_formula_sum 'Ac4 Gd4 Tm4 Hg4'
_cell_length_a 7.880
_cell_length_b 7.880
_cell_length_c 7.880
_cell_angle_alpha 90.00
_cell_angle_beta 90.00
_cell_angle_gamma 90.00
_space_group_name_H-M_alt 'F -4 3 m'
_space_group_IT_number 216
_space_group_name_Hall 'F -4 2 3'
loop_
_atom_site_label
_atom_site_fract_x
_atom_site_fract_y
_atom_site_fract_z
_atom_site_occupancy
Ac1 0.000 0.000 0.000 1
Gd1 0.250 0.250 0.250 1
Tm1 0.250 0.250 0.750 1
Hg1 0.000 0.000 0.500 1
```

(4)
Below is crystalline NaMoI2N at its relaxed geometry, with properties calculated at the PBE level.

Results
- energy relative to the elements, uncorrected (kJ/mol of formula units) = 819
- volume (Å³/cell) = 138.92
- spin magnetization (μB/f.u.) = 2.4

CIF file:
```
data_NaMoI2N
_chemical_formula_sum 'Na1 Mo1 I2 N1'
_cell_length_a 5.719
_cell_length_b 5.719
_cell_length_c 4.247
_cell_angle_alpha 90.00
_cell_angle_beta 90.00
_cell_angle_gamma 90.00
_space_group_name_H-M_alt 'P 4/m m m'
_space_group_IT_number 123
_space_group_name_Hall '-P 4 2'
loop_
_atom_site_label
_atom_site_fract_x
_atom_site_fract_y
_atom_site_fract_z
_atom_site_occupancy
Na1 0.000 0.000 0.000 1
Mo1 0.500 0.500 0.500 1
I1 0.000 0.500 0.000 1
N1 0.000 0.000 0.500 1
```

(5)
Below is crystalline MnAlAs2 at its relaxed geometry, with properties calculated at the PBE level.

Results
- energy relative to the elements (eV per atom) = -0.12
- volume (Å³/cell) = 141.49
- spin magnetization (μB/f.u.) = 3.2

CIF file:
```
data_MnAlAs2
_chemical_formula_sum 'Mn2 Al2 As4'
_cell_length_a 6.234
_cell_length_b 3.605
_cell_length_c 6.639
_cell_angle_alpha 90.00
_cell_angle_beta 108.49
_cell_angle_gamma 90.00
_space_group_name_H-M_alt 'C 1 2/m 1'
_space_group_IT_number 12
_space_group_name_Hall '-C 2y'
loop_
_atom_site_label
_atom_site_fract_x
_atom_site_fract_y
_atom_site_fract_z
_atom_site_occupancy
Mn1 0.000 0.000 0.000 1
Al1 0.000 0.500 0.500 1
As1 0.246 0.500 0.238 1
```

(6)
Below is crystalline KInAgBr2 at its relaxed geometry, with properties calculated at the PBE level.

Results
- energy relative to the elements, uncorrected (kJ/mol of formula units) = -136
- volume (Å³/cell) = 182.61
- spin magnetization (μB/f.u.) = 0.0

CIF file:
```
data_KInAgBr2
_chemical_formula_sum 'K1 In1 Ag1 Br2'
_cell_length_a 5.569
_cell_length_b 5.569
_cell_length_c 5.887
_cell_angle_alpha 90.00
_cell_angle_beta 90.00
_cell_angle_gamma 90.00
_space_group_name_H-M_alt 'P 4/m m m'
_space_group_IT_number 123
_space_group_name_Hall '-P 4 2'
loop_
_atom_site_label
_atom_site_fract_x
_atom_site_fract_y
_atom_site_fract_z
_atom_site_occupancy
K1 0.000 0.000 0.000 1
In1 0.500 0.500 0.000 1
Ag1 0.000 0.000 0.500 1
Br1 0.000 0.500 0.500 1
```

(7)
Below is crystalline Be2CuNi at its relaxed geometry, with properties calculated at the PBE level.

Results
- energy relative to the elements (eV per atom) = -0.11
- volume (Å³/cell) = 117.62
- spin magnetization (μB/f.u.) = 0.0

CIF file:
```
data_Be2CuNi
_chemical_formula_sum 'Be6 Cu3 Ni3'
_cell_length_a 2.4769
_cell_length_b 2.4769
_cell_length_c 22.1385
_cell_angle_alpha 90.00
_cell_angle_beta 90.00
_cell_angle_gamma 120.00
_space_group_name_H-M_alt 'R -3 m'
_space_group_IT_number 166
_space_group_name_Hall '-R 3 2"'
loop_
_atom_site_label
_atom_site_fract_x
_atom_site_fract_y
_atom_site_fract_z
_atom_site_occupancy
Be1 0.0000 0.0000 0.2468 1
Cu1 0.0000 0.0000 0.0000 1
Ni1 0.0000 0.0000 0.5000 1
```

(8)
Below is crystalline Pr5Si2Sn2 at its relaxed geometry, with properties calculated at the PBE level.

Results
- energy relative to the elements, uncorrected (kJ/mol of formula units) = -594
- volume (Å³/cell) = 1054.85
- spin magnetization (μB/f.u.) = 0.0

CIF file:
```
data_Pr5Si2Sn2
_chemical_formula_sum 'Pr20 Si8 Sn8'
_cell_length_a 15.862
_cell_length_b 8.151
_cell_length_c 8.158
_cell_angle_alpha 90.00
_cell_angle_beta 90.00
_cell_angle_gamma 90.00
_space_group_name_H-M_alt 'C m c e'
_space_group_IT_number 64
_space_group_name_Hall '-C 2ac 2'
loop_
_atom_site_label
_atom_site_fract_x
_atom_site_fract_y
_atom_site_fract_z
_atom_site_occupancy
Pr1 0.000 0.000 0.000 1
Pr2 0.130 0.181 0.322 1
Si1 0.000 0.110 0.612 1
Sn1 0.213 0.000 0.000 1
```

What is the formula in the seventh record?
Be2CuNi